Entry 1:
TlOs2: optimized geometry, GGA-PBE.

Output
symmetry: Cmcm
DFT formation energy: 2.084 eV per formula unit
offset from the most stable computed form: 123 meV per atom
V: 116.2 Å³ per cell

Cell lengths 9.4295, 9.4295, 4.3311 Å; angles 90.00, 90.00, 162.44 degrees
Element x y z (fractional)
Tl1 0.0762 0.9238 0.7500
Tl2 0.9238 0.0762 0.2500
Os1 0.2648 0.7352 0.2500
Os2 0.3514 0.6486 0.7500
Os3 0.6486 0.3514 0.2500
Os4 0.7352 0.2648 0.7500

Entry 2:
Sr3AsF: optimized geometry, GGA-PBE.

Output
symmetry: Pm-3m
offset from the most stable computed form: 0 meV per atom
V: 139.9 Å³ per cell

Cell lengths 5.1914, 5.1914, 5.1914 Å; angles 90.00, 90.00, 90.00 degrees
Element x y z (fractional)
Sr1 0.0000 0.0000 0.5000
Sr2 0.0000 0.5000 0.0000
Sr3 0.5000 0.0000 0.0000
As1 0.5000 0.5000 0.5000
F1 0.0000 0.0000 0.0000

Entry 3:
PrSnRu: optimized geometry, GGA-PBE.

Output
symmetry: Pnma
DFT formation energy: -1.513 eV per formula unit
V: 278.2 Å³ per cell

Cell lengths 7.6818, 4.8884, 7.4075 Å; angles 90.00, 90.00, 90.00 degrees
Element x y z (fractional)
Pr1 0.0325 0.2500 0.1911
Pr2 0.4675 0.7500 0.6911
Pr3 0.5325 0.2500 0.3089
Pr4 0.9675 0.7500 0.8089
Sn1 0.1957 0.2500 0.6125
Sn2 0.3043 0.7500 0.1125
Sn3 0.6957 0.2500 0.8875
Sn4 0.8043 0.7500 0.3875
Ru1 0.1513 0.7500 0.4429
Ru2 0.3487 0.2500 0.9429
Ru3 0.6513 0.7500 0.0571
Ru4 0.8487 0.2500 0.5571

Entry 4:
ReOs2Rh: optimized geometry, GGA-PBE.

Output
symmetry: Fm-3m
DFT formation energy: 2.017 eV per formula unit
offset from the most stable computed form: 466 meV per atom
V: 59.0 Å³ per cell

Cell lengths 4.3701, 4.3701, 4.3701 Å; angles 60.00, 60.00, 60.00 degrees
Element x y z (fractional)
Re1 0.0000 0.0000 0.0000
Os1 0.2500 0.2500 0.2500
Os2 0.7500 0.7500 0.7500
Rh1 0.5000 0.5000 0.5000

Entry 5:
Si2SeBr: optimized geometry, GGA-PBE.

Output
symmetry: Pm
offset from the most stable computed form: 0 meV per atom
V: 118.4 Å³ per cell

Cell lengths 3.5920, 4.7932, 7.1046 Å; angles 90.00, 104.50, 90.00 degrees
Element x y z (fractional)
Si1 0.0000 0.0000 0.0000
Si2 0.0327 0.5000 0.0667
Se1 0.3891 0.0000 0.7762
Br1 0.6579 0.5000 0.3190

Entry 6:
Li2TbPr: optimized geometry, GGA-PBE.

Output
symmetry: P4/mmm
DFT formation energy: 0.602 eV per formula unit
offset from the most stable computed form: 0 meV per atom
V: 108.7 Å³ per cell

Cell lengths 3.7773, 3.7773, 7.6179 Å; angles 90.00, 90.00, 90.00 degrees
Element x y z (fractional)
Li1 0.0000 0.0000 0.2438
Li2 0.0000 0.0000 0.7562
Tb1 0.5000 0.5000 0.0000
Pr1 0.5000 0.5000 0.5000

Entry 7:
SmHo2TmBi5: optimized geometry, GGA-PBE.

Output
symmetry: P4/mmm
DFT formation energy: 0.080 eV per formula unit
V: 343.6 Å³ per cell

Cell lengths 5.3528, 5.3528, 11.9937 Å; angles 90.00, 90.00, 90.00 degrees
Element x y z (fractional)
Sm1 0.0000 0.0000 0.0000
Ho1 0.5000 0.5000 0.2631
Ho2 0.5000 0.5000 0.7369
Tm1 0.0000 0.0000 0.5000
Bi1 0.0000 0.0000 0.2488
Bi2 0.0000 0.0000 0.7512
Bi3 0.0000 0.5000 0.5000
Bi4 0.5000 0.0000 0.5000
Bi5 0.5000 0.5000 0.0000

Entry 8:
YCd4Ag: optimized geometry, GGA-PBE.

Output
symmetry: C2/m
DFT formation energy: -1.127 eV per formula unit
offset from the most stable computed form: 0 meV per atom
V: 137.0 Å³ per cell

Cell lengths 5.0956, 5.0956, 6.3311 Å; angles 98.52, 98.52, 57.72 degrees
Element x y z (fractional)
Y1 0.0000 0.0000 0.0000
Cd1 0.3071 0.3071 0.7407
Cd2 0.3674 0.3674 0.2592
Cd3 0.6326 0.6326 0.7408
Cd4 0.6929 0.6929 0.2593
Ag1 0.0000 0.0000 0.5000